(1)
The following is a DFT calculation (PBE-GGA) of a relaxed Te2WAu crystal.

Summary:
- relative energy among the computed polymorphs (meV/atom) = 81.6
- calculated density (g/cm³) = 10.8
- formation energy from raw total energies (kcal/mol of atoms) = 8.42
- SG = R3m (160)

Structure (POSCAR):
```
Te2WAu
1.0
10.687 0.070 0.041
10.161 3.312 0.041
10.161 1.648 2.873
Au Te W
1 2 1
direct
0.762 0.762 0.762
0.019 0.019 0.019
0.223 0.223 0.223
0.496 0.496 0.496
```



(2)
The following is a DFT calculation (PBE-GGA) of a relaxed TeW4Au crystal.

Summary:
- calculated density (g/cm³) = 15.8
- formation energy from raw total energies (kcal/mol of atoms) = 19.39
- SG = F-43m (216)

Structure (POSCAR):
```
TeW4Au
1.0
0.000 3.816 3.816
3.816 0.000 3.816
3.816 3.816 0.000
Te W Au
1 4 1
direct
0.000 0.000 0.000
0.866 0.378 0.378
0.378 0.378 0.866
0.378 0.866 0.378
0.378 0.378 0.378
0.750 0.750 0.750
```



(3)
The following is a DFT calculation (PBE-GGA) of a relaxed TeWAu crystal.

Summary:
- relative energy among the computed polymorphs (meV/atom) = 148.4
- calculated density (g/cm³) = 12.7
- formation energy from raw total energies (kcal/mol of atoms) = 15.38
- SG = F-43m (216)

Structure (POSCAR):
```
TeWAu
1.0
-1.180 -4.148 -1.452
2.962 -2.506 -2.379
1.885 -3.690 1.881
Au Te W
1 1 1
direct
0.000 0.000 0.000
0.500 0.500 0.500
0.750 0.750 0.750
```



(4)
The following is a DFT calculation (PBE-GGA) of a relaxed Te3WAu crystal.

Summary:
- relative energy among the computed polymorphs (meV/atom) = 0.0
- calculated density (g/cm³) = 9.4
- formation energy from raw total energies (kcal/mol of atoms) = 8.28
- SG = P6_3/mmc (194)

Structure (POSCAR):
```
Te3WAu
1.0
5.523 0.000 0.000
0.000 7.518 -0.001
0.001 -3.761 6.513
Te W Au
6 2 2
direct
0.750 0.636 0.818
0.250 0.818 0.636
0.250 0.364 0.182
0.750 0.182 0.364
0.250 0.818 0.182
0.750 0.182 0.818
0.000 0.000 0.000
0.500 0.000 0.000
0.750 0.667 0.333
0.250 0.333 0.667
```



(5)
The following is a DFT calculation (PBE-GGA) of a relaxed Te2WAu crystal.

Summary:
- relative energy among the computed polymorphs (meV/atom) = 291.4
- calculated density (g/cm³) = 8.8
- formation energy from raw total energies (kcal/mol of atoms) = 13.26
- SG = I-42d (122)

Structure (POSCAR):
```
Te2WAu
1.0
6.319 0.000 0.000
0.000 6.319 0.000
3.159 3.159 6.022
Te Au W
4 2 2
direct
0.605 0.125 0.250
0.145 0.625 0.250
0.375 0.395 0.750
0.875 0.855 0.750
0.000 0.000 0.000
0.750 0.250 0.500
0.500 0.500 0.000
0.250 0.750 0.500
```



(6)
The following is a DFT calculation (PBE-GGA) of a relaxed TeW2Au crystal.

Summary:
- calculated density (g/cm³) = 15.5
- formation energy from raw total energies (kcal/mol of atoms) = 23.87
- SG = Cmmm (65)

Structure (POSCAR):
```
TeW2Au
1.0
-1.375 -1.918 1.614
0.018 -0.878 -2.720
8.309 -4.650 1.555
Au Te W
1 1 2
direct
0.500 0.500 0.250
0.500 0.500 0.750
0.000 0.000 0.011
0.000 0.000 0.489
```



(7)
The following is a DFT calculation (PBE-GGA) of a relaxed TeWAu crystal.

Summary:
- relative energy among the computed polymorphs (meV/atom) = 0.0
- calculated density (g/cm³) = 13.4
- formation energy from raw total energies (kcal/mol of atoms) = 11.96
- SG = P3m1 (156)

Structure (POSCAR):
```
TeWAu
1.0
3.252 0.000 0.000
-1.626 2.816 0.000
0.000 0.000 6.862
Au Te W
1 1 1
direct
0.000 0.000 0.967
0.667 0.333 0.374
0.333 0.667 0.659
```



(8)
The following is a DFT calculation (PBE-GGA) of a relaxed Te2WAu crystal.

Summary:
- relative energy among the computed polymorphs (meV/atom) = 530.1
- calculated density (g/cm³) = 12.6
- formation energy from raw total energies (kcal/mol of atoms) = 18.76
- SG = Cmmm (65)

Structure (POSCAR):
```
Te2WAu
1.0
4.939 0.040 0.000
-0.580 4.905 0.000
0.000 0.000 3.464
Au Te W
1 2 1
direct
0.000 0.500 0.500
0.000 0.000 0.000
0.500 0.500 0.000
0.500 0.000 0.500
```



(9)
The following is a DFT calculation (PBE-GGA) of a relaxed Te2WAu crystal.

Summary:
- relative energy among the computed polymorphs (meV/atom) = 425.9
- calculated density (g/cm³) = 12.4
- formation energy from raw total energies (kcal/mol of atoms) = 16.36
- SG = Fm-3m (225)

Structure (POSCAR):
```
Te2WAu
1.0
0.000 3.488 3.488
3.488 0.000 3.488
3.488 3.488 0.000
Te Au W
2 1 1
direct
0.250 0.250 0.250
0.750 0.750 0.750
0.500 0.500 0.500
0.000 0.000 0.000
```



(10)
The following is a DFT calculation (PBE-GGA) of a relaxed TeWAu crystal.

Summary:
- relative energy among the computed polymorphs (meV/atom) = 211.4
- calculated density (g/cm³) = 13.1
- formation energy from raw total energies (kcal/mol of atoms) = 16.84
- SG = Fmm2 (42)

Structure (POSCAR):
```
TeWAu
1.0
-2.574 4.534 6.046
-4.160 1.988 6.273
2.267 -0.005 1.977
Au Te W
1 1 1
direct
0.024 0.024 0.976
0.309 0.309 0.691
0.667 0.667 0.333
```



(11)
The following is a DFT calculation (PBE-GGA) of a relaxed TeW2Au crystal.

Summary:
- calculated density (g/cm³) = 16.3
- formation energy from raw total energies (kcal/mol of atoms) = 17.02
- SG = P4/mmm (123)

Structure (POSCAR):
```
TeW2Au
1.0
3.227 0.000 0.000
0.000 3.226 0.000
0.000 0.000 6.769
Au Te W
1 1 2
direct
0.500 0.500 0.250
0.500 0.500 0.750
0.000 0.000 0.000
0.000 0.000 0.500
```



(12)
The following is a DFT calculation (PBE-GGA) of a relaxed TeWAu4 crystal.

Summary:
- calculated density (g/cm³) = 15.1
- formation energy from raw total energies (kcal/mol of atoms) = 16.26
- SG = F-43m (216)

Structure (POSCAR):
```
TeWAu4
1.0
5.093 -1.547 1.594
3.499 3.748 2.141
1.288 -0.170 5.402
Te W Au
1 1 4
direct
0.750 0.750 0.750
0.000 0.000 0.000
0.876 0.375 0.375
0.375 0.375 0.876
0.375 0.876 0.375
0.375 0.375 0.375
```



How do the records compare in DOS(E_F)? In the order shown, they have 3.27 6.29 2.89 2.57 3.31 3.95 3.26 3.45 2.53 1.61 2.57 3.19 states/eV/f.u..